A geometry-optimized BaAg3Se3 structure. Source: Alexandria, functional PBE-GGA.

```
BaAg3Se3
1.0
10.426 0.000 0.000
-5.213 9.029 0.000
0.000 0.000 4.518
Ba Ag Se
2 6 6
Cartesian
0.000 6.019 1.130
5.213 3.010 3.389
-2.999 6.024 3.389
1.496 3.420 3.389
3.710 0.415 1.130
1.503 8.614 3.389
3.717 5.609 1.130
8.212 3.005 1.130
-1.097 3.756 3.389
-1.411 8.101 3.389
2.705 2.828 1.130
2.508 6.201 3.389
6.624 0.928 1.130
6.310 5.273 1.130
```

Calculated values
Space-group type: No. 176
Uncorrected energy in eV per cell: -50.0
E_form (uncorrected) in kJ per mole of atoms: -56.40
Polymorph energy (0 for the lowest one) in meV per atom: 0